(1)
Here is a geometry-optimized Rb2TiTlBr6 structure from Alexandria via LeMat-Bulk. Energies are from PBE-GGA.

Cell: 7.7134 11.4957 8.8305 Å, 90.00 90.00 90.00°
Element x y z (fractional)
Rb 0.2500 0.0360 0.1878
Rb 0.2500 0.4640 0.1878
Rb 0.7500 0.5360 0.8122
Rb 0.7500 0.9640 0.8122
Ti 0.2500 0.7500 0.7949
Ti 0.7500 0.2500 0.2051
Tl 0.2500 0.2500 0.6980
Tl 0.7500 0.7500 0.3020
Br 0.0072 0.7500 0.5930
Br 0.0168 0.7500 0.0107
Br 0.2500 0.5231 0.7948
Br 0.2500 0.9769 0.7948
Br 0.4832 0.7500 0.0107
Br 0.4928 0.7500 0.5930
Br 0.5072 0.2500 0.4070
Br 0.5168 0.2500 0.9893
Br 0.7500 0.0231 0.2052
Br 0.7500 0.4769 0.2052
Br 0.9832 0.2500 0.9893
Br 0.9928 0.2500 0.4070

Properties
- Uncorrected energy: -3.56 eV per atom
- Fermi-level density of states: 0.657 states/eV/atom
- E_form (uncorrected): -13.3 eV per formula unit

=====

(2)
Here is a geometry-optimized DyCu5Au structure from Alexandria via LeMat-Bulk. Energies are from PBE-GGA.

Cell: 8.1343 5.0403 10.3208 Å, 90.00 90.00 90.00°
Element x y z (fractional)
Dy 0.2418 0.2500 0.0654
Dy 0.2582 0.7500 0.5654
Dy 0.7418 0.2500 0.4346
Dy 0.7582 0.7500 0.9346
Cu 0.0568 0.7500 0.1040
Cu 0.0669 0.0021 0.3135
Cu 0.0669 0.4979 0.3135
Cu 0.0908 0.2500 0.5175
Cu 0.1855 0.2500 0.7475
Cu 0.3145 0.7500 0.2475
Cu 0.4092 0.7500 0.0175
Cu 0.4331 0.5021 0.8135
Cu 0.4331 0.9979 0.8135
Cu 0.4432 0.2500 0.6040
Cu 0.5568 0.7500 0.3960
Cu 0.5669 0.0021 0.1865
Cu 0.5669 0.4979 0.1865
Cu 0.5908 0.2500 0.9825
Cu 0.6855 0.2500 0.7525
Cu 0.8145 0.7500 0.2525
Cu 0.9092 0.7500 0.4825
Cu 0.9331 0.5021 0.6865
Cu 0.9331 0.9979 0.6865
Cu 0.9432 0.2500 0.8960
Au 0.1376 0.7500 0.8610
Au 0.3624 0.2500 0.3610
Au 0.6376 0.7500 0.6390
Au 0.8624 0.2500 0.1390

Properties
- Uncorrected energy: -4.31 eV per atom
- E_form: -262 meV/atom
- Fermi-level density of states: 0.372 states/eV/atom